## CrSeOF2 (PBE with a Hubbard U)

Data for CrSeOF2 after structural relaxation.

Output
The calculation puts the excess energy over the best structure of this formula in the dataset at 1.01 eV/f.u. As for the symmetry: No. 123. The total moment comes out at 4.91 μB per cell.

abc: 4.5480 4.5480 3.7897
angles: 90.00 90.00 90.00
Site moments in Bohr magnetons follow the coordinates.
Positions (direct):
Cr1 0.5000 0.5000 0.5000  4.62
O1 0.0000 0.0000 0.5000  0.00
Se1 0.0000 0.0000 0.0000  -0.03
F1 0.0000 0.5000 0.0000  0.01
F2 0.5000 0.0000 0.0000  0.01